1.
# Hg3AuO

A relaxed Hg3AuO crystal (PBE-GGA, Alexandria via LeMat-Bulk).

abc: 5.3995 5.3995 5.3995
angles: 90.00 90.00 90.00
With the nearest neighbours (Å) after each atom.
Space group Pm-3m (No. 221)
One atom of each set of equivalent atoms:
1 Hg 0.0000 0.0000 0.5000 (multiplicity 3)  2 Au 2.70
2 Au 0.0000 0.0000 0.0000 (multiplicity 1)  6 Hg 2.70
3 O 0.5000 0.5000 0.5000 (multiplicity 1)  12 Hg 3.82

Summary:
Total energy in eV per atom: -1.343
Density of states at the Fermi level in states/eV per cell: 8.3
Excess energy over the best structure of this formula in the dataset in kJ/mol of formula units: 76
Total moment in μB per formula unit: 1.4


2.
# KY2Sc

A relaxed KY2Sc crystal (PBE-GGA, Alexandria via LeMat-Bulk).

abc: 3.8133 3.8133 10.2326
angles: 90.00 90.00 90.00
With the nearest neighbours (Å) after each atom.
Space group P4/mmm (No. 123)
One atom of each set of equivalent atoms:
1 K 0.0000 0.0000 0.0000 (multiplicity 1)  4 K 3.81, 8 Y 4.24
2 Y 0.5000 0.5000 0.3203 (multiplicity 2)  4 Sc 3.26
3 Sc 0.0000 0.0000 0.5000 (multiplicity 1)  8 Y 3.26

Summary:
Total energy in eV per atom: -4.855
Formation enthalpy at 0 K in eV per atom: 0.23
Density of states at the Fermi level in states/eV per cell: 4.4
Excess energy over the best structure of this formula in the dataset in kJ/mol of formula units: 0
Total moment in μB per formula unit: 0.0


3.
# KTaNiSe2

A relaxed KTaNiSe2 crystal (PBE-GGA, Alexandria via LeMat-Bulk).

abc: 5.0849 5.0849 4.8268
angles: 90.00 90.00 90.00
With the nearest neighbours (Å) after each atom.
Space group P4/mmm (No. 123)
One atom of each set of equivalent atoms:
1 K 0.0000 0.0000 0.0000 (multiplicity 1)  8 Se 3.51, 4 Ni 3.60
2 Ta 0.5000 0.5000 0.5000 (multiplicity 1)  2 Ni 2.41, 4 Se 2.54
3 Ni 0.5000 0.5000 0.0000 (multiplicity 1)  2 Ta 2.41
4 Se 0.0000 0.5000 0.5000 (multiplicity 2)  2 Ta 2.54

Summary:
Total energy in eV per atom: -5.362
Density of states at the Fermi level in states/eV per cell: 5.8
Total moment in μB per formula unit: 0.2